# 1
VASP calculation (PBE) on a geometry-optimized In2FeAgCl structure.

Geometry as CIF:
```
data_In2FeAgCl
_cell_length_a 5.2463
_cell_length_b 5.2463
_cell_length_c 4.3096
_cell_angle_alpha 90.00
_cell_angle_beta 90.00
_cell_angle_gamma 90.00
_symmetry_space_group_name_H-M 'P 4/m m m'
_symmetry_Int_Tables_number 123
_symmetry_space_group_name_Hall '-P 4 2'
loop_
_atom_site_label
_atom_site_type_symbol
_atom_site_fract_x
_atom_site_fract_y
_atom_site_fract_z
In1 In 0.0000 0.5000 0.0000
Fe1 Fe 0.0000 0.0000 0.0000
Ag1 Ag 0.5000 0.5000 0.5000
Cl1 Cl 0.0000 0.0000 0.5000
```

Properties
The value obtained for the energy relative to the elements, uncorrected is 1.14 eV per formula unit. The value obtained for the calculated volume is 23.7 A^3/atom.

---

# 2
VASP calculation (PBE) on a geometry-optimized Cr2NiPt structure.

Geometry as CIF:
```
data_Cr2NiPt
_cell_length_a 2.6142
_cell_length_b 2.6142
_cell_length_c 25.6638
_cell_angle_alpha 90.00
_cell_angle_beta 90.00
_cell_angle_gamma 120.00
_symmetry_space_group_name_H-M 'R -3 m'
_symmetry_Int_Tables_number 166
_symmetry_space_group_name_Hall '-R 3 2"'
loop_
_atom_site_label
_atom_site_type_symbol
_atom_site_fract_x
_atom_site_fract_y
_atom_site_fract_z
Cr1 Cr 0.0000 0.0000 0.2458
Ni1 Ni 0.0000 0.0000 0.5000
Pt1 Pt 0.0000 0.0000 0.0000
```

Properties
For the energy of formation, the calculation gives 0.13 eV per atom. The value obtained for the calculated volume is 12.7 A^3/atom.

---

# 3
VASP calculation (PBE) on a geometry-optimized BeGaPCl2 structure.

Geometry as CIF:
```
data_BeGaPCl2
_cell_length_a 4.6882
_cell_length_b 4.6882
_cell_length_c 5.0719
_cell_angle_alpha 90.00
_cell_angle_beta 90.00
_cell_angle_gamma 90.00
_symmetry_space_group_name_H-M 'P 4/m m m'
_symmetry_Int_Tables_number 123
_symmetry_space_group_name_Hall '-P 4 2'
loop_
_atom_site_label
_atom_site_type_symbol
_atom_site_fract_x
_atom_site_fract_y
_atom_site_fract_z
Be1 Be 0.0000 0.0000 0.0000
Ga1 Ga 0.5000 0.5000 0.5000
P1 P 0.5000 0.5000 0.0000
Cl1 Cl 0.0000 0.5000 0.5000
```

Properties
The value obtained for the energy relative to the elements, uncorrected is 2.44 eV per formula unit. The calculation puts the distance to the lowest polymorph of the same formula at 560 meV/atom. The value obtained for the calculated volume is 22.3 A^3/atom.

---

# 4
VASP calculation (PBE) on a geometry-optimized Pa2MnZnN4 structure.

Geometry as CIF:
```
data_Pa2MnZnN4
_cell_length_a 5.1070
_cell_length_b 3.4804
_cell_length_c 5.9697
_cell_angle_alpha 90.00
_cell_angle_beta 113.41
_cell_angle_gamma 90.00
_symmetry_space_group_name_H-M 'P 1 2/m 1'
_symmetry_Int_Tables_number 10
_symmetry_space_group_name_Hall '-P 2y'
loop_
_atom_site_label
_atom_site_type_symbol
_atom_site_fract_x
_atom_site_fract_y
_atom_site_fract_z
Pa1 Pa 0.0000 0.0000 0.0000
Pa2 Pa 0.0000 0.5000 0.5000
Mn1 Mn 0.5000 0.0000 0.5000
Zn1 Zn 0.5000 0.5000 0.0000
N1 N 0.2667 0.0000 0.7420
N2 N 0.2775 0.5000 0.2713
```

Properties
The value obtained for the energy relative to the elements, uncorrected is -5.97 eV per formula unit. The value obtained for the calculated volume is 12.2 A^3/atom.

---

# 5
VASP calculation (PBE) on a geometry-optimized Ac3Pd9Pb2Au structure.

Geometry as CIF:
```
data_Ac3Pd9Pb2Au
_cell_length_a 5.8806
_cell_length_b 5.8806
_cell_length_c 12.8268
_cell_angle_alpha 90.00
_cell_angle_beta 90.00
_cell_angle_gamma 120.00
_symmetry_space_group_name_H-M 'P -3 m 1'
_symmetry_Int_Tables_number 164
_symmetry_space_group_name_Hall '-P 3 2"'
loop_
_atom_site_label
_atom_site_type_symbol
_atom_site_fract_x
_atom_site_fract_y
_atom_site_fract_z
Ac1 Ac 0.0000 0.0000 0.0000
Ac2 Ac 0.3333 0.6667 0.7338
Pd1 Pd 0.0000 0.5000 0.0000
Pd2 Pd 0.1619 0.3239 0.3321
Pb1 Pb 0.3333 0.6667 0.1690
Au1 Au 0.0000 0.0000 0.5000
```

Properties
For the energy of formation, the calculation gives -0.40 eV per atom. The value obtained for the calculated volume is 25.6 A^3/atom.

---

# 6
VASP calculation (PBE) on a geometry-optimized SrCdTe2 structure.

Geometry as CIF:
```
data_SrCdTe2
_cell_length_a 4.1225
_cell_length_b 4.3111
_cell_length_c 15.0303
_cell_angle_alpha 90.00
_cell_angle_beta 90.00
_cell_angle_gamma 90.00
_symmetry_space_group_name_H-M 'I m m 2'
_symmetry_Int_Tables_number 44
_symmetry_space_group_name_Hall 'I 2 -2'
loop_
_atom_site_label
_atom_site_type_symbol
_atom_site_fract_x
_atom_site_fract_y
_atom_site_fract_z
Sr1 Sr 0.0000 0.0000 0.0000
Cd1 Cd 0.0000 0.5000 0.2499
Te1 Te 0.0000 0.0000 0.5958
Te2 Te 0.0000 0.5000 0.8272
```

Properties
The value obtained for the energy relative to the elements, uncorrected is -3.27 eV per formula unit. The value obtained for the calculated volume is 33.4 A^3/atom.

---

# 7
VASP calculation (PBE) on a geometry-optimized Cu2AsSe4 structure.

Geometry as CIF:
```
data_Cu2AsSe4
_cell_length_a 5.6343
_cell_length_b 5.6343
_cell_length_c 5.1577
_cell_angle_alpha 90.00
_cell_angle_beta 90.00
_cell_angle_gamma 90.00
_symmetry_space_group_name_H-M 'P -4 2 m'
_symmetry_Int_Tables_number 111
_symmetry_space_group_name_Hall 'P -4 2'
loop_
_atom_site_label
_atom_site_type_symbol
_atom_site_fract_x
_atom_site_fract_y
_atom_site_fract_z
Cu1 Cu 0.0000 0.5000 0.0000
As1 As 0.0000 0.0000 0.5000
Se1 Se 0.2618 0.2618 0.7412
```

Properties
The value obtained for the energy relative to the elements, uncorrected is -0.48 eV per formula unit. The calculation puts the distance to the lowest polymorph of the same formula at 0 meV/atom. The value obtained for the calculated volume is 23.4 A^3/atom.

---

# 8
VASP calculation (PBE) on a geometry-optimized AgSb2Se2 structure.

Geometry as CIF:
```
data_AgSb2Se2
_cell_length_a 5.6865
_cell_length_b 5.6865
_cell_length_c 8.6639
_cell_angle_alpha 90.00
_cell_angle_beta 90.00
_cell_angle_gamma 90.00
_symmetry_space_group_name_H-M 'I 4/m m m'
_symmetry_Int_Tables_number 139
_symmetry_space_group_name_Hall '-I 4 2'
loop_
_atom_site_label
_atom_site_type_symbol
_atom_site_fract_x
_atom_site_fract_y
_atom_site_fract_z
Ag1 Ag 0.0000 0.0000 0.0000
Sb1 Sb 0.0000 0.0000 0.3159
Se1 Se 0.0000 0.5000 0.2500
```

Properties
The value obtained for the energy relative to the elements, uncorrected is 0.37 eV per formula unit. The calculation puts the distance to the lowest polymorph of the same formula at 25 meV/atom. The value obtained for the calculated volume is 28.0 A^3/atom.

---

# 9
VASP calculation (PBE) on a geometry-optimized EuAlHg3 structure.

Geometry as CIF:
```
data_EuAlHg3
_cell_length_a 5.2128
_cell_length_b 5.2128
_cell_length_c 5.2128
_cell_angle_alpha 90.00
_cell_angle_beta 90.00
_cell_angle_gamma 90.00
_symmetry_space_group_name_H-M 'P m -3 m'
_symmetry_Int_Tables_number 221
_symmetry_space_group_name_Hall '-P 4 2 3'
loop_
_atom_site_label
_atom_site_type_symbol
_atom_site_fract_x
_atom_site_fract_y
_atom_site_fract_z
Eu1 Eu 0.0000 0.0000 0.0000
Al1 Al 0.5000 0.5000 0.5000
Hg1 Hg 0.0000 0.5000 0.5000
```

Properties
For the energy of formation, the calculation gives -0.15 eV per atom. The value obtained for the calculated volume is 28.3 A^3/atom.

---

# 10
VASP calculation (PBE) on a geometry-optimized KCaHg2 structure.

Geometry as CIF:
```
data_KCaHg2
_cell_length_a 8.0849
_cell_length_b 8.0801
_cell_length_c 3.7955
_cell_angle_alpha 90.00
_cell_angle_beta 90.35
_cell_angle_gamma 90.00
_symmetry_space_group_name_H-M 'C 1 2/m 1'
_symmetry_Int_Tables_number 12
_symmetry_space_group_name_Hall '-C 2y'
loop_
_atom_site_label
_atom_site_type_symbol
_atom_site_fract_x
_atom_site_fract_y
_atom_site_fract_z
K1 K 0.0000 0.0000 0.0000
Ca1 Ca 0.0000 0.5000 0.0000
Hg1 Hg 0.2500 0.2500 0.5000
```

Properties
The calculation puts the distance to the lowest polymorph of the same formula at 36 meV/atom. For the energy of formation, the calculation gives -0.31 eV per atom. The value obtained for the calculated volume is 31.0 A^3/atom.

---

Sequential density output: 6.0 11.7 2.7 10.9 9.7 5.7 5.3 6.0 9.2 6.4 g/cm3
Sequential final energy output: -3.498 -7.636 -2.684 -8.589 -5.055 -3.037 -3.894 -3.538 -3.133 -1.232 eV/atom